Entry 1:
This record from the Alexandria database describes an optimized crystal structure of NdY5Bi6. The functional is GGA-PBE.

Formation energy from the elements (eV/atom): -0.9038
Volume (Å³ per cell): 387.9

Structure (POSCAR):
```
NdY5Bi6
1.0
7.7992 0.2145 0.0000
2.4016 7.4249 0.0000
1.2008 3.7124 6.7587
Nd Y Bi
1 5 6
Direct
0.0000 0.0000 0.0000 Nd
0.5000 0.1643 0.6714 Y
0.0000 0.3324 0.3352 Y
0.5000 0.5000 0.0000 Y
0.0000 0.6676 0.6648 Y
0.5000 0.8357 0.3286 Y
0.7464 0.0848 0.3379 Bi
0.2536 0.5773 0.3379 Bi
0.2510 0.2548 0.0000 Bi
0.7490 0.7452 0.0000 Bi
0.7464 0.4227 0.6621 Bi
0.2536 0.9152 0.6621 Bi
```

Entry 2:
This record from the Alexandria database describes an optimized crystal structure of Nd2YBi. The functional is GGA-PBE.

Formation energy from the elements (eV/atom): -0.4226
Volume (Å³ per cell): 257.9

Structure (POSCAR):
```
Nd2YBi
1.0
-3.8347 -1.8740 1.9305
-0.0472 -3.3116 -3.3084
8.6701 -5.9160 5.7983
Nd Y Bi
4 2 2
Direct
0.5661 0.2500 0.1319 Nd
0.4339 0.7500 0.8681 Nd
0.0618 0.7500 0.1230 Nd
0.9382 0.2500 0.8770 Nd
0.6930 0.7500 0.3861 Y
0.3070 0.2500 0.6139 Y
0.1728 0.2500 0.3458 Bi
0.8272 0.7500 0.6542 Bi
```

Entry 3:
This record from the Alexandria database describes an optimized crystal structure of Nd3YBi2. The functional is GGA-PBE.

Formation energy from the elements (eV/atom): -0.6557
Volume (Å³ per cell): 193.9

Structure (POSCAR):
```
Nd3YBi2
1.0
-0.4244 -4.6303 0.2500
4.3491 -0.4845 -1.5914
3.0887 0.1699 8.3892
Nd Y Bi
3 1 2
Direct
0.5000 0.0000 0.3513 Nd
0.0000 0.5000 0.6487 Nd
0.0000 0.0000 0.0000 Nd
0.5000 0.5000 0.0000 Y
0.5000 0.0000 0.7219 Bi
0.0000 0.5000 0.2781 Bi
```

Entry 4:
This record from the Alexandria database describes an optimized crystal structure of Nd3YBi4. The functional is GGA-PBE.

Formation energy from the elements (eV/atom): -0.9332
Volume (Å³ per cell): 271.7

Structure (POSCAR):
```
Nd3YBi4
1.0
4.5830 0.0000 0.0000
0.0000 7.9302 -0.0772
0.0000 -2.5735 7.5014
Nd Y Bi
3 1 4
Direct
0.0000 0.0000 0.5000 Nd
0.5000 0.5000 0.5000 Nd
0.0000 0.5000 0.0000 Nd
0.5000 0.0000 0.0000 Y
0.0000 0.2447 0.2447 Bi
0.5000 0.7527 0.2473 Bi
0.0000 0.7553 0.7553 Bi
0.5000 0.2473 0.7527 Bi
```

Entry 5:
This record from the Alexandria database describes an optimized crystal structure of Nd2YBi2. The functional is GGA-PBE.

Formation energy from the elements (eV/atom): -0.6388
Volume (Å³ per cell): 347.8

Structure (POSCAR):
```
Nd2YBi2
1.0
-3.0652 -4.1903 -3.9469
3.3272 -6.6933 4.5222
-4.9914 5.5200 3.4041
Nd Y Bi
4 2 4
Direct
0.8478 0.7033 0.6956 Nd
0.1522 0.2967 0.3044 Nd
0.6522 0.0077 0.3044 Nd
0.3478 0.9923 0.6956 Nd
0.7500 0.5000 0.0000 Y
0.2500 0.5000 0.0000 Y
0.3924 0.6725 0.7849 Bi
0.6076 0.3275 0.2151 Bi
0.1076 0.8876 0.2151 Bi
0.8924 0.1124 0.7849 Bi
```

Entry 6:
This record from the Alexandria database describes an optimized crystal structure of NdYBi2. The functional is GGA-PBE.

Formation energy from the elements (eV/atom): -0.8499
Volume (Å³ per cell): 268.1

Structure (POSCAR):
```
NdYBi2
1.0
-1.7258 0.7402 -4.1324
-1.8638 -3.1271 2.7111
-9.1910 10.4247 5.7057
Nd Y Bi
2 2 4
Direct
0.0000 0.0000 0.5000 Nd
0.0000 0.0000 0.0000 Nd
0.6667 0.3333 0.2500 Y
0.3333 0.6667 0.7500 Y
0.3333 0.6667 0.3737 Bi
0.6667 0.3333 0.8737 Bi
0.6667 0.3333 0.6263 Bi
0.3333 0.6667 0.1263 Bi
```

Entry 7:
This record from the Alexandria database describes an optimized crystal structure of Nd2Y2Bi5. The functional is GGA-PBE.

Formation energy from the elements (eV/atom): -0.6945
Volume (Å³ per cell): 579.3

Structure (POSCAR):
```
Nd2Y2Bi5
1.0
8.5275 0.0000 0.0000
0.0000 7.8822 -4.6654
0.0000 -0.8465 9.1203
Nd Y Bi
4 4 10
Direct
0.0000 0.8076 0.1924 Nd
0.5000 0.3076 0.6924 Nd
0.0000 0.1924 0.8076 Nd
0.5000 0.6924 0.3076 Nd
0.3407 0.1548 0.1548 Y
0.6593 0.8452 0.8452 Y
0.8407 0.3452 0.3452 Y
0.1593 0.6548 0.6548 Y
0.0000 0.0000 0.0000 Bi
0.5000 0.5000 0.5000 Bi
0.1490 0.2134 0.4884 Bi
0.8510 0.5116 0.7866 Bi
0.6490 0.0116 0.2866 Bi
0.3510 0.7134 0.9884 Bi
0.8510 0.7866 0.5116 Bi
0.1490 0.4884 0.2134 Bi
0.3510 0.9884 0.7134 Bi
0.6490 0.2866 0.0116 Bi
```

Entry 8:
This record from the Alexandria database describes an optimized crystal structure of NdYBi2. The functional is GGA-PBE.

Formation energy from the elements (eV/atom): -0.9216
Volume (Å³ per cell): 133.0

Structure (POSCAR):
```
NdYBi2
1.0
-1.2606 1.5830 -4.0778
-1.2307 -4.1859 1.2990
-4.9511 3.0854 5.2739
Nd Y Bi
1 1 2
Direct
0.0000 0.5000 0.5000 Nd
0.0000 0.0000 0.0000 Y
0.5054 0.2527 0.7581 Bi
0.4946 0.7473 0.2419 Bi
```